--- a ---
VASP calculation (PBE-GGA) on a relaxed structure of ThScNb.

- D(E_F) (states/eV per atom) = 1.7518
- magnetization (μB per atom) = 0.0028

abc: 13.6357 13.6357 13.6357
angles: 165.49 165.49 20.57
With the nearest neighbours (Å) after each atom.
Fractional positions:
Th (0.1465, 0.1465, 0.0000)  5 Nb 3.17-3.53, 4 Sc 3.35, 4 Th 3.44
Th (0.8535, 0.8535, 0.0000)  5 Nb 3.17-3.53, 4 Sc 3.35, 4 Th 3.44
Sc (0.4395, 0.4395, 0.0000)  5 Sc 3.25-3.44, 4 Th 3.35
Sc (0.5605, 0.5605, 0.0000)  5 Sc 3.25-3.44, 4 Th 3.35
Nb (0.2780, 0.2780, 0.0000)  4 Nb 2.86, 4 Th 3.17
Nb (0.7220, 0.7220, 0.0000)  4 Nb 2.86, 4 Th 3.17


--- b ---
VASP calculation (PBE-GGA) on a relaxed structure of ThScNb.

- D(E_F) (states/eV per atom) = 1.3071
- magnetization (μB per atom) = 0.0000

abc: 5.7148 5.7148 5.7148
angles: 141.49 141.49 55.59
With the nearest neighbours (Å) after each atom.
Fractional positions:
Th (0.0000, 0.0000, 0.0000)  5 Sc 3.13-3.29, 5 Nb 3.14-3.40
Sc (0.3099, 0.3099, 0.0000)  4 Nb 3.05, 5 Th 3.13-3.29
Nb (0.6636, 0.6636, 0.0000)  4 Sc 3.05, 5 Th 3.14-3.40


Ranked by calculated energy, most stable first: b, a.


--- a ---
VASP calculation (PBE-GGA) on a relaxed structure of Th2ScNb.

- D(E_F) (states/eV per atom) = 1.4134
- magnetization (μB per atom) = 0.0001

abc: 3.7027 3.7027 7.7615
angles: 90.00 90.00 90.00
With the nearest neighbours (Å) after each atom.
Fractional positions:
Th (0.0000, 0.0000, 0.2293)  4 Nb 3.17, 4 Sc 3.36
Th (0.0000, 0.0000, 0.7707)  4 Nb 3.17, 4 Sc 3.36
Sc (0.5000, 0.5000, 0.5000)  8 Th 3.36, 4 Sc 3.70
Nb (0.5000, 0.5000, 0.0000)  8 Th 3.17


--- b ---
VASP calculation (PBE-GGA) on a relaxed structure of Th2ScNb.

- D(E_F) (states/eV per atom) = 1.7698
- magnetization (μB per atom) = 0.0000

abc: 5.2949 5.2949 5.2949
angles: 60.00 60.00 60.00
With the nearest neighbours (Å) after each atom.
Fractional positions:
Th (0.2500, 0.2500, 0.2500)  4 Nb 3.24, 4 Sc 3.24
Th (0.7500, 0.7500, 0.7500)  4 Sc 3.24, 4 Nb 3.24
Sc (0.0000, 0.0000, 0.0000)  8 Th 3.24
Nb (0.5000, 0.5000, 0.5000)  8 Th 3.24


Ranked by calculated energy, most stable first: a, b.


--- a ---
VASP calculation (PBE-GGA) on a relaxed structure of ThSc2Nb.

- D(E_F) (states/eV per atom) = 1.1123
- magnetization (μB per atom) = 0.0000

abc: 4.4074 4.4074 4.9113
angles: 90.00 90.00 90.00
With the nearest neighbours (Å) after each atom.
Fractional positions:
Th (0.0000, 0.0000, 0.0000)  4 Nb 3.12, 8 Sc 3.30
Sc (0.0000, 0.5000, 0.5000)  4 Sc 3.12, 4 Nb 3.30, 4 Th 3.30
Sc (0.5000, 0.0000, 0.5000)  4 Sc 3.12, 4 Nb 3.30, 4 Th 3.30
Nb (0.5000, 0.5000, 0.0000)  4 Th 3.12, 8 Sc 3.30


--- b ---
VASP calculation (PBE-GGA) on a relaxed structure of ThSc2Nb.

- D(E_F) (states/eV per atom) = 1.3805
- magnetization (μB per atom) = 0.0000

abc: 3.7220 3.7220 6.9760
angles: 90.00 90.00 90.00
With the nearest neighbours (Å) after each atom.
Fractional positions:
Th (0.0000, 0.0000, 0.0000)  8 Sc 3.33, 2 Nb 3.49, 4 Th 3.72
Sc (0.5000, 0.5000, 0.2925)  1 Sc 2.89, 4 Nb 3.00
Sc (0.5000, 0.5000, 0.7075)  1 Sc 2.89, 4 Nb 3.00
Nb (0.0000, 0.0000, 0.5000)  8 Sc 3.00


--- c ---
VASP calculation (PBE-GGA) on a relaxed structure of ThSc2Nb.

- D(E_F) (states/eV per atom) = 1.6288
- magnetization (μB per atom) = 0.0000

abc: 11.3094 11.3094 11.3094
angles: 16.26 16.26 16.26
With the nearest neighbours (Å) after each atom.
Fractional positions:
Th (0.0000, 0.0000, 0.0000)  6 Th 3.20, 2 Sc 3.21
Sc (0.0959, 0.0959, 0.0959)  3 Nb 3.00, 6 Sc 3.20, 1 Th 3.21
Sc (0.9041, 0.9041, 0.9041)  3 Nb 3.00, 6 Sc 3.20, 1 Th 3.21
Nb (0.5000, 0.5000, 0.5000)  6 Sc 3.00, 6 Nb 3.20


Ranked by calculated energy, most stable first: a, b, c.